The following is a DFT calculation (GGA-PBE) of crystalline CaIrAu2 at its relaxed geometry.

The structure belongs to space group P4/mmm (No. 123); the cell edges are 4.255, 4.255 and 4.075 Å and the angles 90.00°, 90.00° and 90.00°. The distinct sites, in fractional coordinates, are Ca at (0.000, 0.000, 0.000), Ir at (0.500, 0.500, 0.000) and Au at (0.000, 0.500, 0.500).

Its formation energy is -0.92 eV per formula unit. For the density of states at the Fermi level, the calculation gives 3.25 states/eV per cell.